Here is Rb2NdVO4 after structural relaxation from Alexandria via LeMat-Bulk. Energies are from PBE+U. Values from VASP.

The structure in Quantum ESPRESSO input format:
```
&SYSTEM
  ibrav = 0, nat = 8, ntyp = 4
/
ATOMIC_SPECIES
V 50.94 V.upf
Rb 85.47 Rb.upf
O 16.00 O.upf
Nd 144.24 Nd.upf
ATOMIC_POSITIONS crystal
V 0.0000 0.5000 0.5000
Rb 0.5000 0.7500 0.2500
O 0.3887 0.8240 0.7113
O 0.1127 0.2887 0.6774
O 0.8873 0.5647 0.1760
Nd 0.5000 0.2500 0.7500
Rb 0.0000 0.0000 0.0000
O 0.6113 0.3226 0.4353
CELL_PARAMETERS angstrom
5.9268 -0.0051 -0.0078
-2.5300 5.3597 0.0078
-2.5300 -2.1497 4.9096
```

Calculated values
Final energy   -50.0 eV/f.u.
Crystal system   tetragonal